A plane-wave DFT calculation with PBE was carried out for crystalline InNi2Au at its relaxed geometry.

The space group is Immm (No. 71) and the conventional cell measures 2.813, 4.686 and 10.366 Å, with angles of 90.00, 90.00 and 90.00 degrees. The distinct sites, in fractional coordinates, are In at (0.000, 0.000, 0.000), Ni at (0.000, 0.000, 0.251) and Au at (0.000, 0.000, 0.500).

The calculation puts the final energy at -31.649 eV for the cell shown. As for the formation energy: 0.438 eV/atom.

---

A plane-wave DFT calculation with PBE was carried out for crystalline In2Ni2Au at its relaxed geometry.

The space group is I4/mmm (No. 139) and the conventional cell measures 4.081, 4.081 and 10.992 Å, with angles of 90.00, 90.00 and 90.00 degrees. The distinct sites, in fractional coordinates, are In at (0.000, 0.500, 0.250), Ni at (0.000, 0.000, 0.102) and Au at (0.000, 0.000, 0.500).

The calculation puts the final energy at -38.224 eV for the cell shown. The offset from the most stable computed form is 0.355 eV/atom. As for the formation energy: 0.241 eV/atom.

---

A plane-wave DFT calculation with PBE was carried out for crystalline InNiAu14 at its relaxed geometry.

The space group is Amm2 (No. 38) and the conventional cell measures 9.524, 5.927 and 10.195 Å, with angles of 90.00, 90.00 and 90.00 degrees. The distinct sites, in fractional coordinates, are In at (0.000, 0.000, 0.000), Ni at (0.000, 0.000, 0.501), Au at (0.000, 0.247, 0.751), Au at (0.243, 0.245, 0.579), Au at (0.244, 0.000, 0.333), Au at (0.253, 0.000, 0.831), Au at (0.500, 0.000, 0.163), Au at (0.500, 0.000, 0.662) and Au at (0.500, 0.249, 0.414).

The calculation puts the final energy at -108.817 eV for the cell shown. As for the formation energy: 0.000 eV/atom.

---

A plane-wave DFT calculation with PBE was carried out for crystalline In6NiAu12 at its relaxed geometry.

The space group is R-3 (No. 148, hexagonal axes) and the conventional cell measures 10.3464, 10.3464 and 12.0877 Å, with angles of 90.00, 90.00 and 120.00 degrees. The distinct sites, in fractional coordinates, are In at (0.0220, 0.4211, 0.2182), Ni at (0.0000, 0.0000, 0.5000), Au at (0.0393, 0.1805, 0.3266) and Au at (0.0493, 0.8592, 0.9000).

The calculation puts the final energy at -189.545 eV for the cell shown. As for the formation energy: -0.086 eV/atom.

---

A plane-wave DFT calculation with PBE was carried out for crystalline In4NiAu5 at its relaxed geometry.

The space group is C2/m (No. 12) and the conventional cell measures 18.817, 4.150 and 5.522 Å, with angles of 90.00, 99.04 and 90.00 degrees. The distinct sites, in fractional coordinates, are In at (0.068, 0.000, 0.325), In at (0.128, 0.500, 0.790), Ni at (0.000, 0.500, 0.500), Au at (0.000, 0.500, 0.000), Au at (0.196, 0.000, 0.106) and Au at (0.213, 0.000, 0.615).

The calculation puts the final energy at -69.214 eV for the cell shown. As for the formation energy: -0.149 eV/atom.

---

A plane-wave DFT calculation with PBE was carried out for crystalline InNi2Au at its relaxed geometry.

The space group is Imm2 (No. 44) and the conventional cell measures 3.877, 3.894 and 7.950 Å, with angles of 90.00, 90.00 and 90.00 degrees. The distinct sites, in fractional coordinates, are In at (0.000, 0.000, 0.000), Ni at (0.000, 0.000, 0.499), Ni at (0.000, 0.500, 0.750) and Au at (0.000, 0.500, 0.249).

The calculation puts the final energy at -35.455 eV for the cell shown. As for the formation energy: -0.037 eV/atom.

---

A plane-wave DFT calculation with PBE was carried out for crystalline InNi2Au at its relaxed geometry.

The space group is P4mm (No. 99) and the conventional cell measures 3.172, 3.172 and 6.038 Å, with angles of 90.00, 90.00 and 90.00 degrees. The distinct sites, in fractional coordinates, are In at (0.000, 0.000, 0.000), Ni at (0.000, 0.000, 0.444), Ni at (0.500, 0.500, 0.242) and Au at (0.500, 0.500, 0.686).

The calculation puts the final energy at -17.496 eV for the cell shown. As for the formation energy: 0.021 eV/atom.

---

A plane-wave DFT calculation with PBE was carried out for crystalline InNi2Au at its relaxed geometry.

The space group is P4/mmm (No. 123) and the conventional cell measures 4.056, 4.056 and 3.629 Å, with angles of 90.00, 90.00 and 90.00 degrees. The distinct sites, in fractional coordinates, are In at (0.000, 0.000, 0.000), Ni at (0.000, 0.500, 0.500) and Au at (0.500, 0.500, 0.000).

The calculation puts the final energy at -17.950 eV for the cell shown. As for the formation energy: -0.093 eV/atom.

---

A plane-wave DFT calculation with PBE was carried out for crystalline InNi2Au at its relaxed geometry.

The space group is P4/mmm (No. 123) and the conventional cell measures 3.223, 3.223 and 5.778 Å, with angles of 90.00, 90.00 and 90.00 degrees. The distinct sites, in fractional coordinates, are In at (0.000, 0.000, 0.000), Ni at (0.500, 0.500, 0.251) and Au at (0.000, 0.000, 0.500).

The calculation puts the final energy at -17.721 eV for the cell shown. As for the formation energy: -0.036 eV/atom.

---

A plane-wave DFT calculation with PBE was carried out for crystalline InNiAu3 at its relaxed geometry.

The space group is Pm-3m (No. 221) and the conventional cell measures 5.155, 5.155 and 5.155 Å, with angles of 90.00, 90.00 and 90.00 degrees. The distinct sites, in fractional coordinates, are In at (0.000, 0.000, 0.000), Ni at (0.500, 0.500, 0.500) and Au at (0.000, 0.000, 0.500).

The calculation puts the final energy at -13.117 eV for the cell shown. The offset from the most stable computed form is 0.631 eV/atom. As for the formation energy: 1.047 eV/atom.

---

A plane-wave DFT calculation with PBE was carried out for crystalline InNiAu5 at its relaxed geometry.

The space group is Imm2 (No. 44) and the conventional cell measures 7.548, 9.291 and 5.264 Å, with angles of 90.00, 90.00 and 90.00 degrees. The distinct sites, in fractional coordinates, are In at (0.000, 0.000, 0.000), Ni at (0.000, 0.500, 0.797), Au at (0.000, 0.000, 0.490), Au at (0.000, 0.287, 0.503) and Au at (0.181, 0.500, 0.227).

The calculation puts the final energy at -43.014 eV for the cell shown. As for the formation energy: 0.486 eV/atom.

---

A plane-wave DFT calculation with PBE was carried out for crystalline InNi2Au at its relaxed geometry.

The space group is I-42d (No. 122) and the conventional cell measures 3.896, 3.896 and 17.985 Å, with angles of 90.00, 90.00 and 90.00 degrees. The distinct sites, in fractional coordinates, are In at (0.000, 0.000, 0.000), Ni at (0.221, 0.250, 0.625) and Au at (0.000, 0.000, 0.500).

The calculation puts the final energy at -65.713 eV for the cell shown. As for the formation energy: 0.288 eV/atom.

---

A plane-wave DFT calculation with PBE was carried out for crystalline In2Ni2Au at its relaxed geometry.

The space group is P4/mbm (No. 127) and the conventional cell measures 6.937, 6.937 and 3.467 Å, with angles of 90.00, 90.00 and 90.00 degrees. The distinct sites, in fractional coordinates, are In at (0.167, 0.333, 0.000), Ni at (0.130, 0.630, 0.500) and Au at (0.000, 0.000, 0.500).

The calculation puts the final energy at -41.772 eV for the cell shown. The offset from the most stable computed form is 0.000 eV/atom. As for the formation energy: -0.114 eV/atom.

---

A plane-wave DFT calculation with PBE was carried out for crystalline NpInNiAu at its relaxed geometry.

The space group is F-43m (No. 216) and the conventional cell measures 6.836, 6.836 and 6.836 Å, with angles of 90.00, 90.00 and 90.00 degrees. The distinct sites, in fractional coordinates, are Np at (0.000, 0.000, 0.000), In at (0.000, 0.000, 0.500), Ni at (0.250, 0.250, 0.750) and Au at (0.250, 0.250, 0.250).

The calculation puts the final energy at -99.140 eV for the cell shown. As for the formation energy: -0.012 eV/atom.

---

A plane-wave DFT calculation with PBE was carried out for crystalline InNiPdAu at its relaxed geometry.

The space group is F-43m (No. 216) and the conventional cell measures 6.383, 6.383 and 6.383 Å, with angles of 90.00, 90.00 and 90.00 degrees. The distinct sites, in fractional coordinates, are In at (0.000, 0.000, 0.000), Ni at (0.250, 0.250, 0.250), Pd at (0.250, 0.250, 0.750) and Au at (0.000, 0.000, 0.500).

The calculation puts the final energy at -71.176 eV for the cell shown. The offset from the most stable computed form is 0.038 eV/atom. As for the formation energy: -0.201 eV/atom.

---

A plane-wave DFT calculation with PBE was carried out for crystalline InNiPdAu at its relaxed geometry.

The space group is Pmmm (No. 47) and the conventional cell measures 3.820, 4.067 and 4.158 Å, with angles of 90.00, 90.00 and 90.00 degrees. The distinct sites, in fractional coordinates, are In at (0.000, 0.000, 0.000), Ni at (0.500, 0.000, 0.500), Pd at (0.500, 0.500, 0.000) and Au at (0.000, 0.500, 0.500).

The calculation puts the final energy at -17.945 eV for the cell shown. The offset from the most stable computed form is 0.000 eV/atom. As for the formation energy: -0.239 eV/atom.

---

A plane-wave DFT calculation with PBE was carried out for crystalline PmInNiAu at its relaxed geometry.

The space group is F-43m (No. 216) and the conventional cell measures 6.906, 6.906 and 6.906 Å, with angles of 90.00, 90.00 and 90.00 degrees. The distinct sites, in fractional coordinates, are Pm at (0.000, 0.000, 0.000), In at (0.000, 0.000, 0.500), Ni at (0.250, 0.250, 0.750) and Au at (0.250, 0.250, 0.250).

The calculation puts the final energy at -73.052 eV for the cell shown. As for the formation energy: -0.429 eV/atom.

---

A plane-wave DFT calculation with PBE was carried out for crystalline InNiPtAu at its relaxed geometry.

The space group is F-43m (No. 216) and the conventional cell measures 6.405, 6.405 and 6.405 Å, with angles of 90.00, 90.00 and 90.00 degrees. The distinct sites, in fractional coordinates, are In at (0.000, 0.000, 0.000), Ni at (0.250, 0.250, 0.750), Pt at (0.250, 0.250, 0.250) and Au at (0.000, 0.000, 0.500).

The calculation puts the final energy at -73.678 eV for the cell shown. As for the formation energy: -0.145 eV/atom.

---

A plane-wave DFT calculation with PBE was carried out for crystalline RbIn2NiAu at its relaxed geometry.

The space group is P4/mmm (No. 123) and the conventional cell measures 4.981, 4.981 and 5.341 Å, with angles of 90.00, 90.00 and 90.00 degrees. The distinct sites, in fractional coordinates, are Rb at (0.000, 0.000, 0.000), In at (0.000, 0.500, 0.500), Ni at (0.500, 0.500, 0.500) and Au at (0.500, 0.500, 0.000).

The calculation puts the final energy at -15.851 eV for the cell shown. As for the formation energy: -0.070 eV/atom.

---

A plane-wave DFT calculation with PBE was carried out for crystalline InNi2SbAu at its relaxed geometry.

The space group is P4/mmm (No. 123) and the conventional cell measures 4.734, 4.734 and 4.953 Å, with angles of 90.00, 90.00 and 90.00 degrees. The distinct sites, in fractional coordinates, are In at (0.000, 0.000, 0.000), Ni at (0.000, 0.500, 0.500), Sb at (0.500, 0.500, 0.000) and Au at (0.000, 0.000, 0.500).

The value obtained for the formation energy without anion corrections is 3.95 eV/f.u. The calculation puts the final energy at -17.753 eV for the cell shown.